No. 1
Ba6NaCa: optimized geometry, PBE-GGA.

```
data_Ba6NaCa
_symmetry_space_group_name_H-M 'P 1'
_symmetry_Int_Tables_number 1
_cell_length_a 12.5433
_cell_length_b 12.5433
_cell_length_c 12.5433
_cell_angle_alpha 150.72
_cell_angle_beta 150.72
_cell_angle_gamma 41.88
loop_
_symmetry_equiv_pos_as_xyz
'x,y,z'
loop_
_atom_site_label
_atom_site_fract_x
_atom_site_fract_y
_atom_site_fract_z
Ba1 0.1112 0.6112 0.5000
Ba2 0.2476 0.2476 0.0000
Ba3 0.3888 0.8888 0.5000
Ba4 0.6112 0.1112 0.5000
Ba5 0.7524 0.7524 0.0000
Ba6 0.8888 0.3888 0.5000
Na1 0.5000 0.5000 0.0000
Ca1 0.0000 0.0000 0.0000
```

Computed properties:
Calculated total energy: -0.1338 Ry/atom
Distance to the lowest polymorph of the same formula: 0.0000 eV per atom
Calculated formation energy: 36 meV/atom


No. 2
Ba2Na2Ca: optimized geometry, PBE-GGA.

```
data_Ba2Na2Ca
_symmetry_space_group_name_H-M 'P 1'
_symmetry_Int_Tables_number 1
_cell_length_a 10.1008
_cell_length_b 10.1008
_cell_length_c 4.3324
_cell_angle_alpha 90.00
_cell_angle_beta 90.00
_cell_angle_gamma 146.06
loop_
_symmetry_equiv_pos_as_xyz
'x,y,z'
loop_
_atom_site_label
_atom_site_fract_x
_atom_site_fract_y
_atom_site_fract_z
Ba1 0.1124 0.8876 0.0000
Ba2 0.8876 0.1124 0.0000
Na1 0.2995 0.7005 0.5000
Na2 0.7005 0.2995 0.5000
Ca1 0.5000 0.5000 0.5000
```

Computed properties:
Calculated total energy: -0.1230 Ry/atom
Distance to the lowest polymorph of the same formula: 0.0000 eV per atom
Calculated formation energy: 23 meV/atom


No. 3
Ba2Na6Ca: optimized geometry, PBE-GGA.

```
data_Ba2Na6Ca
_symmetry_space_group_name_H-M 'P 1'
_symmetry_Int_Tables_number 1
_cell_length_a 7.5579
_cell_length_b 7.5579
_cell_length_c 8.0513
_cell_angle_alpha 90.04
_cell_angle_beta 90.04
_cell_angle_gamma 59.99
loop_
_symmetry_equiv_pos_as_xyz
'x,y,z'
loop_
_atom_site_label
_atom_site_fract_x
_atom_site_fract_y
_atom_site_fract_z
Ba1 0.1668 0.1668 0.1180
Ba2 0.8332 0.8332 0.8820
Na1 0.1410 0.6796 0.3458
Na2 0.3204 0.8590 0.6542
Na3 0.3209 0.3209 0.6536
Na4 0.6791 0.6791 0.3464
Na5 0.6796 0.1410 0.3458
Na6 0.8590 0.3204 0.6542
Ca1 0.5000 0.5000 0.0000
```

Computed properties:
Calculated total energy: -0.1108 Ry/atom
Calculated formation energy: 21 meV/atom


No. 4
Ba2NaCa: optimized geometry, PBE-GGA.

```
data_Ba2NaCa
_symmetry_space_group_name_H-M 'P 1'
_symmetry_Int_Tables_number 1
_cell_length_a 13.7634
_cell_length_b 13.7634
_cell_length_c 13.7634
_cell_angle_alpha 17.64
_cell_angle_beta 17.64
_cell_angle_gamma 17.64
loop_
_symmetry_equiv_pos_as_xyz
'x,y,z'
loop_
_atom_site_label
_atom_site_fract_x
_atom_site_fract_y
_atom_site_fract_z
Ba1 0.0000 0.0000 0.0000
Ba2 0.1686 0.1686 0.1686
Na1 0.5843 0.5843 0.5843
Ca1 0.4177 0.4177 0.4177
```

Computed properties:
Calculated total energy: -0.1267 Ry/atom
Distance to the lowest polymorph of the same formula: 0.0428 eV per atom
Calculated formation energy: 68 meV/atom


No. 5
BaNa3Ca: optimized geometry, PBE-GGA.

```
data_BaNa3Ca
_symmetry_space_group_name_H-M 'P 1'
_symmetry_Int_Tables_number 1
_cell_length_a 6.3960
_cell_length_b 6.3960
_cell_length_c 6.3960
_cell_angle_alpha 90.00
_cell_angle_beta 90.00
_cell_angle_gamma 90.00
loop_
_symmetry_equiv_pos_as_xyz
'x,y,z'
loop_
_atom_site_label
_atom_site_fract_x
_atom_site_fract_y
_atom_site_fract_z
Ba1 0.0000 0.0000 0.0000
Na1 0.0000 0.5000 0.5000
Na2 0.5000 0.0000 0.5000
Na3 0.5000 0.5000 0.0000
Ca1 0.5000 0.5000 0.5000
```

Computed properties:
Calculated total energy: -0.0911 Ry/atom
Distance to the lowest polymorph of the same formula: 0.2152 eV per atom
Calculated formation energy: 337 meV/atom


No. 6
BaNa2Ca8: optimized geometry, PBE-GGA.

```
data_BaNa2Ca8
_symmetry_space_group_name_H-M 'P 1'
_symmetry_Int_Tables_number 1
_cell_length_a 9.5292
_cell_length_b 9.5292
_cell_length_c 6.5197
_cell_angle_alpha 101.46
_cell_angle_beta 101.46
_cell_angle_gamma 117.01
loop_
_symmetry_equiv_pos_as_xyz
'x,y,z'
loop_
_atom_site_label
_atom_site_fract_x
_atom_site_fract_y
_atom_site_fract_z
Ba1 0.0000 0.0000 0.0000
Na1 0.3085 0.6915 0.5000
Na2 0.6915 0.3085 0.5000
Ca1 0.0885 0.3209 0.6104
Ca2 0.2380 0.7620 0.0000
Ca3 0.3209 0.0885 0.6104
Ca4 0.4095 0.4095 0.1932
Ca5 0.5905 0.5905 0.8068
Ca6 0.6791 0.9115 0.3896
Ca7 0.7620 0.2380 0.0000
Ca8 0.9115 0.6791 0.3896
```

Computed properties:
Calculated total energy: -0.1271 Ry/atom
Calculated formation energy: 142 meV/atom